# 1
InBiAu6 after structural relaxation. Source: the Alexandria database, functional PBE.

Calculated values
Total energy, eV for the cell shown: -26.67
ρ, g/cm³: 15.527
Crystal system: orthorhombic
Spin magnetization, μB per formula unit: 0.000
Volume, Å³/cell: 161.0
Fermi-level density of states, states/eV/cell: 2.7
Energy above the lowest structure with this stoichiometry, meV per atom: 0.0

abc: 4.7330 6.3408 5.3654
angles: 90.00 90.00 90.00
Space group Pmm2 (No. 25)
One atom of each set of equivalent atoms:
In1 0.0000 0.0000 0.0000 [1 per cell]
Bi1 0.5000 0.5000 0.6834 [1 per cell]
Au1 0.0000 0.2351 0.5051 [2 per cell]
Au2 0.0000 0.5000 0.0576 [1 per cell]
Au3 0.5000 0.0000 0.6753 [1 per cell]
Au4 0.5000 0.2362 0.1779 [2 per cell]

---

# 2
InBiAu5 after structural relaxation. Source: the Alexandria database, functional PBE.

Calculated values
Total energy, eV for the cell shown: -23.16
ρ, g/cm³: 14.333
Crystal system: tetragonal
Spin magnetization, μB per formula unit: 0.000
Volume, Å³/cell: 151.6
Fermi-level density of states, states/eV/cell: 3.5
Energy above the lowest structure with this stoichiometry, meV per atom: 26.2

abc: 4.0834 4.0834 9.0927
angles: 90.00 90.00 90.00
Space group P4/mmm (No. 123)
One atom of each set of equivalent atoms:
In1 0.0000 0.0000 0.0000 [1 per cell]
Bi1 0.5000 0.5000 0.5000 [1 per cell]
Au1 0.0000 0.5000 0.2499 [4 per cell]
Au2 0.5000 0.5000 0.0000 [1 per cell]

---

# 3
InBiAu3 after structural relaxation. Source: the Alexandria database, functional PBE.

Calculated values
Total energy, eV for the cell shown: -33.59
ρ, g/cm³: 13.352
Crystal system: monoclinic
Spin magnetization, μB per formula unit: 0.000
Volume, Å³/cell: 227.5
Fermi-level density of states, states/eV/cell: 2.6
Energy above the lowest structure with this stoichiometry, meV per atom: 0.0

abc: 5.6793 7.0897 5.8432
angles: 90.00 104.76 90.00
Space group P2_1/m (No. 11)
One atom of each set of equivalent atoms:
In1 0.0883 0.2500 0.4052 [2 per cell]
Bi1 0.3329 0.7500 0.2317 [2 per cell]
Au1 0.1761 0.0490 0.8553 [4 per cell]
Au2 0.4858 0.7500 0.7537 [2 per cell]

---

# 4
In2BiAu2 after structural relaxation. Source: the Alexandria database, functional PBE.

Calculated values
Total energy, eV for the cell shown: -66.15
ρ, g/cm³: 11.351
Crystal system: orthorhombic
Spin magnetization, μB per formula unit: 0.000
Volume, Å³/cell: 487.2
Fermi-level density of states, states/eV/cell: 6.6
Energy above the lowest structure with this stoichiometry, meV per atom: 0.0

abc: 4.3242 19.4536 5.7915
angles: 90.00 90.00 90.00
Space group Cmc2_1 (No. 36)
One atom of each set of equivalent atoms:
In1 0.0000 0.0440 0.0000 [4 per cell]
In2 0.0000 0.2256 0.7630 [4 per cell]
Bi1 0.0000 0.4127 0.0091 [4 per cell]
Au1 0.0000 0.1715 0.3045 [4 per cell]
Au2 0.0000 0.3518 0.4673 [4 per cell]

---

# 5
InBiAu5 after structural relaxation. Source: the Alexandria database, functional PBE.

Calculated values
Total energy, eV for the cell shown: -93.39
ρ, g/cm³: 14.578
Crystal system: orthorhombic
Spin magnetization, μB per formula unit: 0.000
Volume, Å³/cell: 596.2
Fermi-level density of states, states/eV/cell: 10.5
Energy above the lowest structure with this stoichiometry, meV per atom: 0.0

abc: 8.8742 5.9790 11.2376
angles: 90.00 90.00 90.00
Space group Pnma (No. 62)
One atom of each set of equivalent atoms:
In1 0.1515 0.2500 0.1548 [4 per cell]
Bi1 0.2483 0.2500 0.4604 [4 per cell]
Au1 0.0549 0.5162 0.6946 [8 per cell]
Au2 0.0752 0.2500 0.9186 [4 per cell]
Au3 0.1100 0.7500 0.4741 [4 per cell]
Au4 0.1896 0.7500 0.2226 [4 per cell]

---

# 6
InBiAu3 after structural relaxation. Source: the Alexandria database, functional PBE.

Calculated values
Total energy, eV for the cell shown: -67.16
ρ, g/cm³: 13.495
Crystal system: orthorhombic
Spin magnetization, μB per formula unit: 0.000
Volume, Å³/cell: 450.2
Fermi-level density of states, states/eV/cell: 5.5
Energy above the lowest structure with this stoichiometry, meV per atom: 1.2

abc: 3.5505 27.9000 4.5448
angles: 90.00 90.00 90.00
Space group Cmcm (No. 63)
One atom of each set of equivalent atoms:
In1 0.0000 0.2092 0.2500 [4 per cell]
Bi1 0.0000 0.0739 0.7500 [4 per cell]
Au1 0.0000 0.3101 0.2500 [4 per cell]
Au2 0.0000 0.3729 0.7500 [4 per cell]
Au3 0.0000 0.4719 0.7500 [4 per cell]

---

# 7
InBiAu after structural relaxation. Source: the Alexandria database, functional PBE.

Calculated values
Total energy, eV for the cell shown: -40.51
ρ, g/cm³: 10.518
Crystal system: cubic
Spin magnetization, μB per formula unit: 0.000
Volume, Å³/cell: 328.9
Fermi-level density of states, states/eV/cell: 9.5

abc: 6.9026 6.9026 6.9026
angles: 90.00 90.00 90.00
Space group F-43m (No. 216)
One atom of each set of equivalent atoms:
In1 0.0000 0.0000 0.0000 [4 per cell]
Bi1 0.0000 0.0000 0.5000 [4 per cell]
Au1 0.2500 0.2500 0.7500 [4 per cell]

---

# 8
InBiAu after structural relaxation. Source: the Alexandria database, functional PBE.

Calculated values
Total energy, eV for the cell shown: -39.90
ρ, g/cm³: 10.848
Crystal system: monoclinic
Spin magnetization, μB per formula unit: 0.000
Volume, Å³/cell: 318.9
Fermi-level density of states, states/eV/cell: 4.3

abc: 14.1896 3.2222 7.2290
angles: 90.00 105.27 90.00
Space group C2/m (No. 12)
One atom of each set of equivalent atoms:
In1 0.2084 0.0000 0.1641 [4 per cell]
Bi1 0.0255 0.0000 0.7618 [4 per cell]
Au1 0.1637 0.0000 0.5315 [4 per cell]

---

# 9
InBiAu after structural relaxation. Source: the Alexandria database, functional PBE.

Calculated values
Total energy, eV for the cell shown: -10.06
ρ, g/cm³: 10.604
Crystal system: trigonal
Spin magnetization, μB per formula unit: 0.000
Volume, Å³/cell: 81.6
Fermi-level density of states, states/eV/cell: 1.1

abc: 4.4362 4.4362 4.7849
angles: 90.00 90.00 120.00
Space group P3m1 (No. 156)
One atom of each set of equivalent atoms:
In1 0.0000 0.0000 0.0000 [1 per cell]
Bi1 0.6667 0.3333 0.4516 [1 per cell]
Au1 0.3333 0.6667 0.7439 [1 per cell]

---

# 10
In8Bi2Au after structural relaxation. Source: the Alexandria database, functional PBE.

Calculated values
Total energy, eV for the cell shown: -66.12
ρ, g/cm³: 7.957
Crystal system: monoclinic
Spin magnetization, μB per formula unit: 0.000
Volume, Å³/cell: 640.1
Fermi-level density of states, states/eV/cell: 6.5

abc: 18.2489 4.9796 7.3013
angles: 90.00 105.27 90.00
Space group C2/m (No. 12)
One atom of each set of equivalent atoms:
In1 0.0054 0.0000 0.2297 [4 per cell]
In2 0.1169 0.5000 0.8120 [4 per cell]
In3 0.1531 0.5000 0.2891 [4 per cell]
In4 0.2054 0.0000 0.0875 [4 per cell]
Bi1 0.1522 0.0000 0.5777 [4 per cell]
Au1 0.0000 0.5000 0.0000 [2 per cell]

---

# 11
In2BiAu after structural relaxation. Source: the Alexandria database, functional PBE.

Calculated values
Total energy, eV for the cell shown: -12.68
ρ, g/cm³: 10.412
Crystal system: tetragonal
Spin magnetization, μB per formula unit: 0.000
Volume, Å³/cell: 101.4
Fermi-level density of states, states/eV/cell: 1.7

abc: 3.6752 3.6752 7.5043
angles: 90.00 90.00 90.00
Space group P4/mmm (No. 123)
One atom of each set of equivalent atoms:
In1 0.0000 0.0000 0.2124 [2 per cell]
Bi1 0.5000 0.5000 0.5000 [1 per cell]
Au1 0.5000 0.5000 0.0000 [1 per cell]

---

# 12
InBi2Au2 after structural relaxation. Source: the Alexandria database, functional PBE.

Calculated values
Total energy, eV for the cell shown: -69.31
ρ, g/cm³: 11.780
Crystal system: monoclinic
Spin magnetization, μB per formula unit: 0.000
Volume, Å³/cell: 522.5
Fermi-level density of states, states/eV/cell: 9.3
Energy above the lowest structure with this stoichiometry, meV per atom: 1.5

abc: 9.5864 7.5134 7.2697
angles: 90.00 93.66 90.00
Space group P2_1/c (No. 14)
One atom of each set of equivalent atoms:
In1 0.1295 0.1476 0.0312 [4 per cell]
Bi1 0.2186 0.5843 0.1396 [4 per cell]
Bi2 0.4612 0.2379 0.9965 [4 per cell]
Au1 0.0460 0.6112 0.7944 [4 per cell]
Au2 0.3448 0.5450 0.7526 [4 per cell]

---

Formation energy from the elements? In order: -48; -22; -69; -125; -49; -68; -77; -26; -55; -10; -10; -54 meV per atom.